Below is an optimized crystal structure of NbTlGeRh2, with properties calculated at the PBEsol level.

Lattice parameters (Å, degrees): 4.7090 4.7090 4.9967 90.00 90.00 90.00
Fractional coordinates of all 5 atoms:
Ge 0.0000 0.0000 0.5000
Tl 0.5000 0.5000 0.5000
Rh 0.0000 0.5000 0.0000
Rh 0.5000 0.0000 0.0000
Nb 0.0000 0.0000 0.0000

D(E_F) in states/eV/f.u.: 4.2
Formation energy from the elements in kcal/mol of atoms: 20.46



Below is an optimized crystal structure of Mn4CdSe, with properties calculated at the PBEsol level.

Lattice parameters (Å, degrees): 4.8634 4.8634 4.8634 60.00 60.00 60.00
Fractional coordinates of all 6 atoms:
Cd 0.0000 0.0000 0.0000
Mn 0.3744 0.3744 0.3744
Mn 0.3744 0.3744 0.8768
Mn 0.8768 0.3744 0.3744
Mn 0.3744 0.8768 0.3744
Se 0.7500 0.7500 0.7500

Formation energy without anion corrections in meV per atom: 555
D(E_F) in states/eV/f.u.: 7.3



Below is an optimized crystal structure of PIrCl, with properties calculated at the PBEsol level.

Lattice parameters (Å, degrees): 4.1617 4.1617 4.1617 60.00 60.00 60.00
Fractional coordinates of all 3 atoms:
P 0.7500 0.7500 0.7500
Ir 0.5000 0.5000 0.5000
Cl 0.0000 0.0000 0.0000

Formation energy without anion corrections in meV per atom: 929
D(E_F) in states/eV/f.u.: 5.1
Distance to the lowest polymorph of the same formula in eV per formula unit: 3.50



Below is an optimized crystal structure of MgCuAu2, with properties calculated at the PBEsol level.

Lattice parameters (Å, degrees): 4.1437 4.6450 4.1437 63.51 90.00 116.49
Fractional coordinates of all 4 atoms:
Mg 0.5000 0.0000 0.5000
Au 0.7500 0.5000 0.7500
Au 0.2500 0.5000 0.2500
Cu 0.0000 0.0000 0.0000

D(E_F) in states/eV/f.u.: 1.2
Formation energy from the elements in kcal/mol of atoms: -7.72



Below is an optimized crystal structure of CaY3, with properties calculated at the PBEsol level.

Lattice parameters (Å, degrees): 3.5668 3.5668 10.2652 90.00 90.00 90.00
Fractional coordinates of all 4 atoms:
Y 0.5000 0.5000 0.7312
Y 0.0000 0.0000 0.5000
Y 0.5000 0.5000 0.2688
Ca 0.0000 0.0000 0.0000

D(E_F) in states/eV/f.u.: 6.0
Formation energy from the elements in kcal/mol of atoms: 1.66



Below is an optimized crystal structure of YZr3, with properties calculated at the PBEsol level.

Lattice parameters (Å, degrees): 5.1276 6.3979 6.3979 113.21 90.00 90.00
Fractional coordinates of all 8 atoms:
Y 0.2500 0.6273 0.3727
Y 0.7500 0.3727 0.6273
Zr 0.7500 0.2962 0.1116
Zr 0.7500 0.8215 0.1785
Zr 0.2500 0.1116 0.2962
Zr 0.7500 0.8884 0.7038
Zr 0.2500 0.1785 0.8215
Zr 0.2500 0.7038 0.8884

D(E_F) in states/eV/f.u.: 4.3
Formation energy from the elements in kcal/mol of atoms: 1.78
Distance to the lowest polymorph of the same formula in eV per formula unit: 0.07



Below is an optimized crystal structure of K3HfNb, with properties calculated at the PBEsol level.

Lattice parameters (Å, degrees): 6.4157 6.4157 6.4157 90.00 90.00 90.00
Fractional coordinates of all 5 atoms:
Nb 0.0000 0.0000 0.0000
Hf 0.5000 0.5000 0.5000
K 0.0000 0.5000 0.0000
K 0.0000 0.0000 0.5000
K 0.5000 0.0000 0.0000

D(E_F) in states/eV/f.u.: 10.2
Formation energy from the elements in kcal/mol of atoms: 51.16



Below is an optimized crystal structure of Y4C5, with properties calculated at the PBEsol level.

Lattice parameters (Å, degrees): 3.6231 6.5107 11.8808 90.00 90.00 90.00
Fractional coordinates of all 18 atoms:
C 0.0000 0.0967 0.6559
C 0.0000 0.9033 0.3441
C 0.0000 0.4033 0.1559
C 0.0000 0.5967 0.8441
C 0.0000 0.1396 0.7655
C 0.0000 0.8604 0.2345
C 0.0000 0.3604 0.2655
C 0.0000 0.6396 0.7345
C 0.5000 0.0000 0.0000
C 0.5000 0.5000 0.5000
Y 0.5000 0.3922 0.6961
Y 0.5000 0.6078 0.3039
Y 0.5000 0.1078 0.1961
Y 0.5000 0.8922 0.8039
Y 0.0000 0.2450 0.9578
Y 0.0000 0.7550 0.0422
Y 0.0000 0.2550 0.4578
Y 0.0000 0.7450 0.5422

D(E_F) in states/eV/f.u.: 3.6
Formation energy from the elements in kcal/mol of atoms: -8.59



Below is an optimized crystal structure of LaHgW2, with properties calculated at the PBEsol level.

Lattice parameters (Å, degrees): 3.5948 3.5948 6.7311 90.00 90.00 90.00
Fractional coordinates of all 4 atoms:
Hg 0.5000 0.5000 0.0000
La 0.5000 0.5000 0.5000
W 0.0000 0.0000 0.8237
W 0.0000 0.0000 0.1763

D(E_F) in states/eV/f.u.: 3.3
Formation energy from the elements in kcal/mol of atoms: 20.30



Below is an optimized crystal structure of TaFeMo2, with properties calculated at the PBEsol level.

Lattice parameters (Å, degrees): 3.1268 4.2636 4.4088 90.00 90.00 90.00
Fractional coordinates of all 4 atoms:
Fe 0.0000 0.5000 0.5000
Mo 0.0000 0.0000 0.0000
Mo 0.5000 0.5000 0.0000
Ta 0.5000 0.0000 0.5000

D(E_F) in states/eV/f.u.: 3.6
Formation energy from the elements in kcal/mol of atoms: -0.09
Distance to the lowest polymorph of the same formula in eV per formula unit: 0.00



Below is an optimized crystal structure of Ta3GaNi, with properties calculated at the PBEsol level.

Lattice parameters (Å, degrees): 4.5373 4.5373 4.5373 90.00 90.00 90.00
Fractional coordinates of all 5 atoms:
Ni 0.0000 0.0000 0.0000
Ga 0.5000 0.5000 0.5000
Ta 0.0000 0.5000 0.0000
Ta 0.0000 0.0000 0.5000
Ta 0.5000 0.0000 0.0000

D(E_F) in states/eV/f.u.: 5.3
Formation energy from the elements in kcal/mol of atoms: 18.26



Below is an optimized crystal structure of SrOsAu, with properties calculated at the PBEsol level.

Lattice parameters (Å, degrees): 2.9151 2.9151 7.6248 90.00 90.00 120.00
Fractional coordinates of all 3 atoms:
Au 0.0000 0.0000 0.9803
Os 0.3333 0.6667 0.6791
Sr 0.6667 0.3333 0.3405

D(E_F) in states/eV/f.u.: 3.2
Formation energy from the elements in kcal/mol of atoms: 20.79



Which value of D(E_F) does entry 10 give? 3.6 states/eV/f.u.



What is the formula in the fifth record? CaY3



D(E_F) of number 3 (PIrCl)? 5.1 states/eV/f.u.



Among the records above, which one has the highest D(E_F)? K3HfNb